[1]
The following is a DFT calculation (PBE) of a geometry-optimized Zn2PIrBr structure.

E in Ry/atom: -0.208
Total magnetization in μB/cell: 2.19
V in Å³ per atom: 24.15

Cell: 4.959 4.911 4.959 Å, 90.00 90.00 90.00°
Each line ends with the local moment (μB).
Positions (direct):
Zn  0.000  0.000  0.500  -0.01
Zn  0.500  0.000  0.000  0.01
Br  0.000  0.500  0.000  0.08
P  0.500  0.500  0.500  0.90
Ir  0.000  0.000  0.000  0.03

---

[2]
The following is a DFT calculation (PBE) of a geometry-optimized IrPb2Br structure.

E in Ry/atom: -0.303
Total magnetization in μB/cell: 0.00
V in Å³ per atom: 25.44

Cell: 9.729 9.729 9.729 Å, 20.81 20.81 20.81°
Positions (direct):
Br  0.489  0.489  0.489
Pb  0.243  0.243  0.243
Pb  0.018  0.018  0.018
Ir  0.750  0.750  0.750

---

[3]
The following is a DFT calculation (PBE) of a geometry-optimized Ir2PbBr structure.

E in Ry/atom: -0.355
Total magnetization in μB/cell: 0.00
V in Å³ per atom: 19.57

Cell: 3.211 3.211 8.863 Å, 90.00 90.00 121.07°
Positions (direct):
Br  0.500  0.500  0.750
Ir  0.000  0.000  0.001
Ir  0.000  0.000  0.499
Pb  0.500  0.500  0.250

---

total magnetization of number 3 (Ir2PbBr)? 0.00 μB/cell

---

What is the total magnetization in the second record? 0.00 μB/cell